Below is crystalline LiZn2F at its relaxed geometry, with properties calculated at the PBE-GGA level.

formation energy from raw total energies = -78.3 kJ per mole of atoms
calculated volume = 15.8 Å³ per atom
density = 4118 kg/m3
E_tot = -2.3946 eV per atom

```
LiZn2F
1.0
-5.476 4.961 0.399
-3.942 -3.961 -4.850
-5.657 -0.687 -0.486
Zn Li F
4 2 2
direct
0.875 0.927 0.750
0.375 0.323 0.750
0.073 0.625 0.250
0.677 0.125 0.250
0.250 0.750 0.500
0.500 0.500 0.000
0.000 0.000 0.000
0.750 0.250 0.500
```

Below is crystalline Li2Zn2F7 at its relaxed geometry, with properties calculated at the PBE-GGA level.

formation energy from raw total energies = -220.3 kJ per mole of atoms
calculated volume = 13.5 Å³ per atom
density = 3107 kg/m3
E_tot = -4.0539 eV per atom

```
Li2Zn2F7
1.0
-1.925 -4.341 2.096
-1.511 -2.232 -4.868
4.945 -1.952 1.644
F Zn Li
7 2 2
direct
0.798 0.413 0.043
0.267 0.437 0.437
0.798 0.043 0.413
0.202 0.587 0.957
0.202 0.957 0.587
0.500 0.000 0.000
0.733 0.563 0.563
0.632 0.266 0.266
0.368 0.734 0.734
0.000 0.698 0.302
0.000 0.302 0.698
```

The lowest formation energy from raw total energies belongs to which entry?
Li2Zn2F7

Which value of density does entry 2 give?
3107 kg/m3